Version a
MgNiI2O: optimized geometry, GGA+U.

```
MgNiI2O
1.0
-1.2570 3.7152 4.3484
-5.4507 0.5703 -2.0628
-1.0987 -2.8482 2.1158
I O Mg Ni
2 1 1 1
Cartesian
-2.7254 0.2851 -1.0314 I
-0.6285 1.8576 2.1742 I
-0.5494 -1.4241 1.0579 O
0.0000 0.0000 0.0000 Mg
-3.9032 0.7186 2.2007 Ni
```

=====

Version b
MgNiI2O: optimized geometry, GGA+U.

```
MgNiI2O
1.0
5.6449 0.0000 0.0000
0.0000 5.6449 0.0000
0.0000 0.0000 3.6831
O I Mg Ni
1 2 1 1
Cartesian
0.0000 0.0000 1.8415 O
2.8224 0.0000 0.0000 I
0.0000 2.8224 0.0000 I
2.8224 2.8224 1.8415 Mg
0.0000 0.0000 0.0000 Ni
```

=====

Most stable structure: version a